1.
VASP calculation (PBE) on a relaxed structure of AlVAg.

Cell: 6.4700 6.4700 6.4700 Å, 155.56 155.56 34.83°
Fractional positions:
Al  0.0000  0.0000  0.0000
V  0.3481  0.3481  0.0000
Ag  0.6732  0.6732  0.0000

## Properties
**ΔE to the lowest computed polymorph**: 15.2 kJ/mol of atoms
**Magnetization**: 0.002 μB/f.u.

***

2.
VASP calculation (PBE) on a relaxed structure of AlV2Ag.

Cell: 5.6683 5.6683 5.6683 Å, 101.33 101.33 127.39°
Fractional positions:
Al  0.0000  0.0000  0.0000
Al  0.7500  0.2500  0.5000
V  0.1217  0.6250  0.9967
V  0.3750  0.3717  0.4967
V  0.6283  0.1250  0.0033
V  0.8750  0.8783  0.5033
Ag  0.2500  0.7500  0.5000
Ag  0.5000  0.5000  0.0000

## Properties
**DFT total energy**: -5.6187 eV per atom
**Magnetization**: 0.000 μB/f.u.

***

3.
VASP calculation (PBE) on a relaxed structure of Al2VAg.

Cell: 4.0644 4.0644 3.6991 Å, 90.00 90.00 90.00°
Fractional positions:
Al  0.0000  0.5000  0.0000
Al  0.5000  0.0000  0.0000
V  0.0000  0.0000  0.5000
Ag  0.5000  0.5000  0.5000

## Properties
**ΔE to the lowest computed polymorph**: 3.1 kJ/mol of atoms
**Magnetization**: 0.002 μB/f.u.

***

4.
VASP calculation (PBE) on a relaxed structure of Al4VAg.

Cell: 7.6179 4.7417 5.4259 Å, 90.00 104.60 90.00°
Fractional positions:
Al  0.1620  0.0438  0.4055
Al  0.1620  0.9562  0.9055
Al  0.3200  0.4363  0.8349
Al  0.3200  0.5637  0.3349
Al  0.6800  0.4363  0.6651
Al  0.6800  0.5637  0.1651
Al  0.8380  0.0438  0.0945
Al  0.8380  0.9562  0.5945
V  0.0000  0.5000  0.0000
V  0.0000  0.5000  0.5000
Ag  0.5000  0.0824  0.2500
Ag  0.5000  0.9176  0.7500

## Properties
**DFT total energy**: -4.5056 eV per atom
**Magnetization**: 0.000 μB/f.u.

***

5.
VASP calculation (PBE) on a relaxed structure of AlV3Ag.

Cell: 4.7196 4.7196 4.7196 Å, 90.00 90.00 90.00°
Fractional positions:
Al  0.0000  0.0000  0.0000
V  0.0000  0.5000  0.5000
V  0.5000  0.0000  0.5000
V  0.5000  0.5000  0.0000
Ag  0.5000  0.5000  0.5000

## Properties
**ΔE to the lowest computed polymorph**: 35.7 kJ/mol of atoms
**Magnetization**: 4.080 μB/f.u.

***

6.
VASP calculation (PBE) on a relaxed structure of Al3VAg.

Cell: 4.8112 4.8112 4.8112 Å, 90.00 90.00 90.00°
Fractional positions:
Al  0.0000  0.0000  0.5000
Al  0.0000  0.5000  0.0000
Al  0.5000  0.0000  0.0000
V  0.0000  0.0000  0.0000
Ag  0.5000  0.5000  0.5000

## Properties
**ΔE to the lowest computed polymorph**: 0.0 kJ/mol of atoms
**Magnetization**: 2.497 μB/f.u.

***

7.
VASP calculation (PBE) on a relaxed structure of Al2V2Ag.

Cell: 6.8831 6.8831 3.2290 Å, 90.00 90.00 90.00°
Fractional positions:
Al  0.1279  0.3721  0.0000
Al  0.3721  0.8721  0.0000
Al  0.6279  0.1279  0.0000
Al  0.8721  0.6279  0.0000
V  0.1703  0.6703  0.5000
V  0.3297  0.1703  0.5000
V  0.6703  0.8297  0.5000
V  0.8297  0.3297  0.5000
Ag  0.0000  0.0000  0.0000
Ag  0.5000  0.5000  0.0000

## Properties
**ΔE to the lowest computed polymorph**: 2.4 kJ/mol of atoms
**Magnetization**: 0.002 μB/f.u.

***

8.
VASP calculation (PBE) on a relaxed structure of Al2VAg.

Cell: 6.1130 6.1130 6.1130 Å, 36.20 36.20 36.20°
Fractional positions:
Al  0.0000  0.0000  0.0000
Al  0.1718  0.1718  0.1718
V  0.5904  0.5904  0.5904
Ag  0.4141  0.4141  0.4141

## Properties
**ΔE to the lowest computed polymorph**: 49.1 kJ/mol of atoms
**Magnetization**: 0.000 μB/f.u.

***

9.
VASP calculation (PBE) on a relaxed structure of Al2VAg.

Cell: 4.4673 4.4673 4.4673 Å, 60.00 60.00 60.00°
Fractional positions:
Al  0.2500  0.2500  0.2500
Al  0.7500  0.7500  0.7500
V  0.0000  0.0000  0.0000
Ag  0.5000  0.5000  0.5000

## Properties
**ΔE to the lowest computed polymorph**: 17.2 kJ/mol of atoms
**Magnetization**: 2.266 μB/f.u.

***

10.
VASP calculation (PBE) on a relaxed structure of Al2V2Ag.

Cell: 7.6080 7.6080 2.7690 Å, 90.00 90.00 90.00°
Fractional positions:
Al  0.1885  0.3115  0.0000
Al  0.3115  0.8115  0.0000
Al  0.6885  0.1885  0.0000
Al  0.8115  0.6885  0.0000
V  0.1066  0.6066  0.5000
V  0.3934  0.1066  0.5000
V  0.6066  0.8934  0.5000
V  0.8934  0.3934  0.5000
Ag  0.0000  0.0000  0.5000
Ag  0.5000  0.5000  0.5000

## Properties
**ΔE to the lowest computed polymorph**: 0.0 kJ/mol of atoms
**Magnetization**: 0.000 μB/f.u.

***

11.
VASP calculation (PBE) on a relaxed structure of AlV3Ag.

Cell: 4.4917 4.4917 4.4917 Å, 90.00 90.00 90.00°
Fractional positions:
Al  0.0000  0.0000  0.0000
V  0.0000  0.0000  0.5000
V  0.0000  0.5000  0.0000
V  0.5000  0.0000  0.0000
Ag  0.5000  0.5000  0.5000

## Properties
**ΔE to the lowest computed polymorph**: 0.0 kJ/mol of atoms
**Magnetization**: 1.547 μB/f.u.

***

12.
VASP calculation (PBE) on a relaxed structure of Al6VAg.

Cell: 4.6395 4.6395 7.5000 Å, 103.69 103.69 69.61°
Fractional positions:
Al  0.0558  0.5599  0.2038
Al  0.1449  0.1449  0.4489
Al  0.4401  0.9442  0.7962
Al  0.5599  0.0558  0.2038
Al  0.8551  0.8551  0.5511
Al  0.9442  0.4401  0.7962
V  0.5000  0.5000  0.5000
Ag  0.0000  0.0000  0.0000

## Properties
**DFT total energy**: -4.1540 eV per atom
**Magnetization**: 1.866 μB/f.u.